A geometry-optimized HoHfC2 structure, computed with GGA-PBE.

Output
energy relative to the elements: -0.470 eV per atom
total magnetic moment: 0.0 μB/cell
E above lowest polymorph: 0.000 eV/f.u.
calculated volume: 14.1 Å³/atom

Unit cell a=3.3972 b=3.3972 c=16.9715 alpha=90.00 beta=90.00 gamma=120.00
Space group R-3m (No. 166, hexagonal axes)
Inequivalent atoms, fractional coordinates:
Ho 0.0000 0.0000 0.0000 (multiplicity 3)
Hf 0.0000 0.0000 0.5000 (multiplicity 3)
C 0.0000 0.0000 0.2422 (multiplicity 6)

---

A geometry-optimized Dy4Ga2Hg structure, computed with GGA-PBE.

Output
energy relative to the elements: -0.277 eV per atom
total magnetic moment: 0.0 μB/cell
E above lowest polymorph: 0.951 eV/f.u.
calculated volume: 27.7 Å³/atom

Unit cell a=4.9672 b=4.9672 c=27.1940 alpha=90.00 beta=90.00 gamma=120.00
Space group R-3m (No. 166, hexagonal axes)
Inequivalent atoms, fractional coordinates:
Dy 0.0000 0.0000 0.1188 (multiplicity 6)
Dy 0.0000 0.0000 0.2957 (multiplicity 6)
Ga 0.0000 0.0000 0.4024 (multiplicity 6)
Hg 0.0000 0.0000 0.5000 (multiplicity 3)

---

A geometry-optimized TbHg4Pb structure, computed with GGA-PBE.

Output
energy relative to the elements: -0.073 eV per atom
total magnetic moment: 0.0 μB/cell
E above lowest polymorph: 0.809 eV/f.u.
calculated volume: 26.0 Å³/atom

Unit cell a=8.544 b=8.544 c=8.544 alpha=90.00 beta=90.00 gamma=90.00
Space group F-43m (No. 216)
Inequivalent atoms, fractional coordinates:
Tb 0.000 0.000 0.000 (multiplicity 4)
Hg 0.125 0.125 0.375 (multiplicity 16)
Pb 0.250 0.250 0.750 (multiplicity 4)

---

A geometry-optimized PmSm3Pd2 structure, computed with GGA-PBE.

Output
energy relative to the elements: -0.505 eV per atom
total magnetic moment: 1.7 μB/cell
E above lowest polymorph: 0.000 eV/f.u.
calculated volume: 28.2 Å³/atom

Unit cell a=12.897 b=6.942 c=7.931 alpha=90.00 beta=107.88 gamma=90.00
Space group C2/c (No. 15)
Inequivalent atoms, fractional coordinates:
Pm 0.000 0.248 0.250 (multiplicity 4)
Sm 0.000 0.252 0.750 (multiplicity 4)
Sm 0.214 0.000 0.107 (multiplicity 8)
Pd 0.120 0.500 0.060 (multiplicity 8)

---

A geometry-optimized Nd4Y3HoTe8 structure, computed with GGA-PBE.

Output
total magnetic moment: 0.0 μB/cell
formation energy from raw total energies: -1359.3 meV/atom
calculated volume: 30.7 Å³/atom

Unit cell a=8.7757 b=8.7757 c=22.1162 alpha=90.00 beta=90.00 gamma=120.00
Space group R-3m (No. 166, hexagonal axes)
Inequivalent atoms, fractional coordinates:
Nd 0.0000 0.0000 0.0000 (multiplicity 3)
Nd 0.0000 0.5000 0.0000 (multiplicity 9)
Y 0.0000 0.5000 0.5000 (multiplicity 9)
Ho 0.0000 0.0000 0.5000 (multiplicity 3)
Te 0.0000 0.0000 0.2461 (multiplicity 6)
Te 0.0012 0.5006 0.2458 (multiplicity 18)

---

A geometry-optimized KSbAuSe2 structure, computed with GGA-PBE.

Output
total magnetic moment: 0.0 μB/cell
formation energy from raw total energies: -353.9 meV/atom
calculated volume: 28.1 Å³/atom

Unit cell a=6.313 b=15.233 c=5.853 alpha=90.00 beta=90.00 gamma=90.00
Space group Cmme (No. 67)
Inequivalent atoms, fractional coordinates:
K 0.000 0.250 0.246 (multiplicity 4)
Sb 0.250 0.000 0.000 (multiplicity 4)
Au 0.000 0.000 0.500 (multiplicity 4)
Se 0.000 0.137 0.737 (multiplicity 8)

---

A geometry-optimized CrInReP structure, computed with GGA-PBE.

Output
energy relative to the elements: 0.271 eV per atom
total magnetic moment: 0.8 μB/cell
E above lowest polymorph: 1.001 eV/f.u.
calculated volume: 15.6 Å³/atom

Unit cell a=4.283 b=2.982 c=9.785 alpha=90.00 beta=90.00 gamma=90.00
Space group Amm2 (No. 38)
Inequivalent atoms, fractional coordinates:
Cr 0.000 0.000 0.000 (multiplicity 2)
In 0.000 0.000 0.737 (multiplicity 2)
Re 0.500 0.000 0.399 (multiplicity 2)
P 0.500 0.000 0.088 (multiplicity 2)

---

A geometry-optimized AcCoAgH6 structure, computed with GGA-PBE.

Output
total magnetic moment: 0.0 μB/cell
calculated volume: 9.8 Å³/atom
E_tot: -4.046 eV per atom

Unit cell a=4.7814 b=4.7814 c=4.4770 alpha=90.00 beta=90.00 gamma=120.00
Space group P-6m2 (No. 187)
Inequivalent atoms, fractional coordinates:
Ac 0.0000 0.0000 0.0000 (multiplicity 1)
Co 0.6667 0.3333 0.5000 (multiplicity 1)
Ag 0.3333 0.6667 0.5000 (multiplicity 1)
H 0.5268 0.0536 0.2536 (multiplicity 6)

---

A geometry-optimized Ce2HRh structure, computed with GGA-PBE.

Output
total magnetic moment: 0.0 μB/cell
E above lowest polymorph: 0.445 eV/f.u.
calculated volume: 17.4 Å³/atom

Unit cell a=3.251 b=3.251 c=6.575 alpha=90.00 beta=90.00 gamma=90.00
Space group P4/mmm (No. 123)
Inequivalent atoms, fractional coordinates:
Ce 0.000 0.000 0.212 (multiplicity 2)
H 0.500 0.500 0.000 (multiplicity 1)
Rh 0.500 0.500 0.500 (multiplicity 1)

---

A geometry-optimized MnCrGa3 structure, computed with GGA-PBE.

Output
energy relative to the elements: 0.866 eV per atom
total magnetic moment: 1.9 μB/cell
calculated volume: 18.5 Å³/atom

Unit cell a=4.521 b=4.521 c=4.521 alpha=90.00 beta=90.00 gamma=90.00
Space group Pm-3m (No. 221)
Inequivalent atoms, fractional coordinates:
Mn 0.000 0.000 0.000 (multiplicity 1)
Cr 0.500 0.500 0.500 (multiplicity 1)
Ga 0.000 0.000 0.500 (multiplicity 3)

---

A geometry-optimized BaHfFeBr2 structure, computed with GGA-PBE.

Output
total magnetic moment: 5.1 μB/cell
formation energy from raw total energies: 964.6 meV/atom
calculated volume: 56.9 Å³/atom

Unit cell a=5.996 b=5.996 c=7.914 alpha=90.00 beta=90.00 gamma=90.00
Space group P4/mmm (No. 123)
Inequivalent atoms, fractional coordinates:
Ba 0.000 0.000 0.000 (multiplicity 1)
Hf 0.000 0.000 0.500 (multiplicity 1)
Fe 0.500 0.500 0.500 (multiplicity 1)
Br 0.000 0.500 0.000 (multiplicity 2)

---

A geometry-optimized Ce3CdRh structure, computed with GGA-PBE.

Output
energy relative to the elements: -0.330 eV per atom
total magnetic moment: 2.2 μB/cell
E above lowest polymorph: 0.000 eV/f.u.
calculated volume: 24.7 Å³/atom

Unit cell a=7.992 b=3.633 c=8.560 alpha=90.00 beta=96.80 gamma=90.00
Space group P2_1/m (No. 11)
Inequivalent atoms, fractional coordinates:
Ce 0.132 0.250 0.055 (multiplicity 2)
Ce 0.356 0.250 0.468 (multiplicity 2)
Ce 0.359 0.750 0.831 (multiplicity 2)
Cd 0.005 0.250 0.653 (multiplicity 2)
Rh 0.394 0.750 0.205 (multiplicity 2)